(1)
VASP calculation (GGA-PBE) on an optimized crystal structure of Ac2PuAuSe5.

The structure belongs to space group Cmc2_1 (No. 36); the cell edges are 4.289, 18.068 and 12.819 Å and the angles 90.00°, 90.00° and 90.00°. The asymmetric unit holds Ac at (0.000, 0.119, 0.000), Ac at (0.000, 0.122, 0.626), Pu at (0.000, 0.190, 0.319), Au at (0.000, 0.455, 0.769), Se at (0.000, 0.040, 0.382), Se at (0.000, 0.297, 0.975), Se at (0.000, 0.302, 0.660), Se at (0.000, 0.353, 0.315) and Se at (0.000, 0.499, 0.579).

The calculation puts the formation energy (no corrections) at -1.5160 eV per atom. Its magnetization is 5.0 μB per formula unit. The value obtained for the density of states at the Fermi level is 1.46 states/eV per atom.

---

(2)
VASP calculation (GGA-PBE) on an optimized crystal structure of TiInNi2W.

The structure belongs to space group P4/mmm (No. 123); the cell edges are 4.496, 4.496 and 5.124 Å and the angles 90.00°, 90.00° and 90.00°. The asymmetric unit holds Ti at (0.000, 0.000, 0.000), In at (0.500, 0.500, 0.000), Ni at (0.000, 0.500, 0.500) and W at (0.500, 0.500, 0.500).

Its magnetization is 0.0 μB per formula unit. The value obtained for the density of states at the Fermi level is 1.38 states/eV per atom. The formation energy comes out at 1.26 eV per atom.

---

(3)
VASP calculation (GGA-PBE) on an optimized crystal structure of KScMn2.

The structure belongs to space group P4mm (No. 99); the cell edges are 3.139, 3.139 and 9.479 Å and the angles 90.00°, 90.00° and 90.00°. The asymmetric unit holds K at (0.000, 0.000, 0.000), Sc at (0.500, 0.500, 0.620), Mn at (0.000, 0.000, 0.433) and Mn at (0.500, 0.500, 0.309).

Its magnetization is 1.7 μB per formula unit. The value obtained for the density of states at the Fermi level is 0.44 states/eV per atom. The formation energy comes out at 0.44 eV per atom.

---

(4)
VASP calculation (GGA-PBE) on an optimized crystal structure of CrIrW.

The structure belongs to space group F-43m (No. 216); the cell edges are 5.780, 5.780 and 5.780 Å and the angles 90.00°, 90.00° and 90.00°. The asymmetric unit holds Cr at (0.000, 0.000, 0.000), Ir at (0.250, 0.250, 0.750) and W at (0.250, 0.250, 0.250).

Its magnetization is 0.0 μB per formula unit. The value obtained for the density of states at the Fermi level is 0.93 states/eV per atom. The formation energy comes out at 0.52 eV per atom.

---

(5)
VASP calculation (GGA-PBE) on an optimized crystal structure of ZrTiCrMo2.

The structure belongs to space group P4/mmm (No. 123); the cell edges are 4.608, 4.608 and 4.346 Å and the angles 90.00°, 90.00° and 90.00°. The asymmetric unit holds Zr at (0.000, 0.000, 0.000), Ti at (0.500, 0.500, 0.000), Cr at (0.500, 0.500, 0.500) and Mo at (0.000, 0.500, 0.500).

Its magnetization is 0.0 μB per formula unit. The value obtained for the density of states at the Fermi level is 1.58 states/eV per atom. The formation energy comes out at 0.63 eV per atom.

---

(6)
VASP calculation (GGA-PBE) on an optimized crystal structure of Sm2Al4InAu3.

The structure belongs to space group P-4m2 (No. 115); the cell edges are 4.385, 4.385 and 10.813 Å and the angles 90.00°, 90.00° and 90.00°. The asymmetric unit holds Sm at (0.000, 0.500, 0.244), Al at (0.000, 0.000, 0.000), Al at (0.000, 0.500, 0.647), Al at (0.500, 0.500, 0.000), In at (0.000, 0.000, 0.500), Au at (0.000, 0.500, 0.874) and Au at (0.500, 0.500, 0.500).

Its magnetization is 0.0 μB per formula unit. The value obtained for the density of states at the Fermi level is 0.40 states/eV per atom. The formation energy comes out at -0.65 eV per atom.

---

(7)
VASP calculation (GGA-PBE) on an optimized crystal structure of TbAlHg.

The structure belongs to space group I4mm (No. 107); the cell edges are 3.460, 3.460 and 11.472 Å and the angles 90.00°, 90.00° and 90.00°. The asymmetric unit holds Tb at (0.000, 0.000, 0.000), Al at (0.000, 0.000, 0.675) and Hg at (0.000, 0.000, 0.314).

Its magnetization is 0.1 μB per formula unit. The value obtained for the density of states at the Fermi level is 0.80 states/eV per atom. The formation energy comes out at -0.26 eV per atom.

---

(8)
VASP calculation (GGA-PBE) on an optimized crystal structure of GdThCd.

The structure belongs to space group I4mm (No. 107); the cell edges are 3.607, 3.607 and 13.665 Å and the angles 90.00°, 90.00° and 90.00°. The asymmetric unit holds Gd at (0.000, 0.000, 0.000), Th at (0.000, 0.000, 0.316) and Cd at (0.000, 0.000, 0.651).

Its magnetization is 7.1 μB per formula unit. The value obtained for the density of states at the Fermi level is 1.00 states/eV per atom. The formation energy comes out at -0.11 eV per atom.

---

(9)
VASP calculation (GGA-PBE) on an optimized crystal structure of LiNiH6Pd2.

The structure belongs to space group P1 (No. 1); the cell edges are 4.617, 4.632 and 5.018 Å and the angles 90.62°, 117.36° and 119.33°. The asymmetric unit holds Li at (0.000, 0.000, 0.000), Ni at (0.133, 0.569, 0.700), H at (0.002, 0.457, 0.957), H at (0.258, 0.785, 0.466), H at (0.415, 0.958, 0.959), H at (0.504, 0.547, 0.959), H at (0.676, 0.468, 0.468), H at (0.997, 0.207, 0.469), Pd at (0.456, 0.226, 0.682) and Pd at (0.552, 0.774, 0.322).

Its magnetization is 0.0 μB per formula unit. For the total energy, the calculation gives -3.958 eV/atom. The value obtained for the density of states at the Fermi level is 0.25 states/eV per atom.

---

(10)
VASP calculation (GGA-PBE) on an optimized crystal structure of Np2BiTe.

The structure belongs to space group R-3m (No. 166, hexagonal axes); the cell edges are 4.4770, 4.4770 and 21.6680 Å and the angles 90.00°, 90.00° and 120.00°. The asymmetric unit holds Np at (0.0000, 0.0000, 0.2482), Bi at (0.0000, 0.0000, 0.0000) and Te at (0.0000, 0.0000, 0.5000).

The calculation puts the formation energy (no corrections) at -0.2275 eV per atom. Its magnetization is 8.7 μB per formula unit. The value obtained for the density of states at the Fermi level is 5.06 states/eV per atom.

---

(11)
VASP calculation (GGA-PBE) on an optimized crystal structure of Li2Zn2As.

The structure belongs to space group P4/mbm (No. 127); the cell edges are 7.281, 7.281 and 3.036 Å and the angles 90.00°, 90.00° and 90.00°. The asymmetric unit holds Li at (0.171, 0.329, 0.000), Zn at (0.125, 0.625, 0.500) and As at (0.000, 0.000, 0.500).

Its magnetization is 0.0 μB per formula unit. The value obtained for the density of states at the Fermi level is 0.21 states/eV per atom. The formation energy comes out at -0.14 eV per atom.

---

(12)
VASP calculation (GGA-PBE) on an optimized crystal structure of TaInTeI2.

The structure belongs to space group P4/mmm (No. 123); the cell edges are 5.754, 5.754 and 5.853 Å and the angles 90.00°, 90.00° and 90.00°. The asymmetric unit holds Ta at (0.000, 0.000, 0.000), In at (0.500, 0.500, 0.500), Te at (0.500, 0.500, 0.000) and I at (0.000, 0.500, 0.500).

The calculation puts the formation energy (no corrections) at 1.1348 eV per atom. Its magnetization is 3.3 μB per formula unit. The value obtained for the density of states at the Fermi level is 1.53 states/eV per atom.